Crystalline Rb2ZnSnHg at its relaxed geometry, computed with PBE.

Geometry as POSCAR:
```
Rb2ZnSnHg
1.0
6.871 0.000 0.000
0.000 6.871 0.000
0.000 0.000 4.915
Rb Zn Sn Hg
2 1 1 1
direct
0.000 0.500 0.000
0.500 0.000 0.000
0.000 0.000 0.000
0.000 0.000 0.500
0.500 0.500 0.500
```

* formation energy: 0.001 eV per atom
* space-group type: No. 123

Crystalline Hg3CO at its relaxed geometry, computed with PBE.

Geometry as POSCAR:
```
Hg3CO
1.0
4.498 0.000 0.000
0.000 4.498 0.000
0.000 0.000 4.498
Hg C O
3 1 1
direct
0.000 0.000 0.500
0.000 0.500 0.000
0.500 0.000 0.000
0.000 0.000 0.000
0.500 0.500 0.500
```

* space-group type: No. 221
* formation energy without anion corrections: 1.00 eV per atom
* ΔE to the lowest computed polymorph: 0.000 eV per formula unit

Crystalline Mg2FeMoPd at its relaxed geometry, computed with PBE.

Geometry as POSCAR:
```
Mg2FeMoPd
1.0
4.706 0.000 0.000
0.000 4.706 0.000
0.000 0.000 4.305
Mg Fe Mo Pd
2 1 1 1
direct
0.000 0.500 0.000
0.500 0.000 0.000
0.000 0.000 0.000
0.000 0.000 0.500
0.500 0.500 0.500
```

* formation energy: 0.658 eV per atom
* space-group type: No. 123